! TbTaSe4 GGA-PBE relaxed; values from VASP
! ρ	5.83	g/cm³
! raw formation energy	-106	kJ/mol of atoms
! uncorrected energy	-6.17	eV/atom
&SYSTEM
  ibrav = 0, nat = 12, ntyp = 3
/
ATOMIC_SPECIES
Se 78.96 Se.upf
Tb 158.93 Tb.upf
Ta 180.95 Ta.upf
CELL_PARAMETERS angstrom
6.612 -0.434 0.000
-1.608 6.483 0.000
-2.502 -3.025 8.863
ATOMIC_POSITIONS angstrom
Se -1.211 5.056 0.765
Tb 0.849 3.133 1.260
Se 3.713 -2.032 8.098
Ta -2.457 3.350 7.450
Se -0.695 1.608 3.035
Se 2.908 1.210 0.765
Tb 1.653 -0.108 7.603
Ta 4.959 -0.325 1.413
Se 2.393 4.658 3.035
Se -0.407 1.815 8.098
Se 0.109 -1.633 5.828
Se 3.197 1.416 5.828

***

! Tl5Te2Cl GGA-PBE relaxed; values from VASP
! ρ	7.76	g/cm³
! raw formation energy	-38	kJ/mol of atoms
! uncorrected energy	-2.89	eV/atom
! Fermi-level density of states	1.3	states/eV/f.u.
&SYSTEM
  ibrav = 0, nat = 16, ntyp = 3
/
ATOMIC_SPECIES
Tl 204.38 Tl.upf
Te 127.60 Te.upf
Cl 35.45 Cl.upf
CELL_PARAMETERS angstrom
-1.864 -4.725 0.688
3.717 -2.514 -7.191
10.624 -3.228 6.620
ATOMIC_POSITIONS angstrom
Tl 10.738 -4.426 -1.300
Tl 11.496 -7.112 1.400
Tl 9.588 -3.384 2.737
Te 8.351 -5.983 0.630
Tl 5.948 -4.734 2.696
Tl 7.171 -2.871 -0.285
Tl 3.603 -1.316 0.729
Cl 5.312 -1.614 3.310
Tl 0.000 0.000 0.000
Te 4.126 -4.483 -0.513
Te 8.162 -5.234 5.266
Tl 6.529 -5.732 -2.579
Cl 1.859 -1.257 -3.595
Te 4.315 -5.232 -5.149
Tl 4.753 -2.357 -3.308
Tl 0.981 -3.354 -1.282

***

! Pm6NiPb3 GGA-PBE relaxed; values from VASP
! ρ	8.28	g/cm³
! uncorrected energy	-4.91	eV/atom
! Fermi-level density of states	9.0	states/eV/f.u.
! ΔE_f	-367.4	meV per atom
&SYSTEM
  ibrav = 0, nat = 20, ntyp = 3
/
ATOMIC_SPECIES
Pm 145.00 Pm.upf
Pb 207.20 Pb.upf
Ni 58.69 Ni.upf
CELL_PARAMETERS angstrom
6.351 0.000 0.138
0.000 8.976 0.000
0.243 0.000 10.915
ATOMIC_POSITIONS angstrom
Pm 5.574 8.558 2.621
Pb 2.630 1.037 2.896
Pm 0.632 2.729 0.651
Ni 3.297 4.488 5.526
Pm 1.020 0.418 8.431
Pb 0.122 0.000 5.457
Pm 2.397 7.562 0.656
Pm 4.198 1.415 10.396
Pm 4.074 4.070 3.043
Pm 2.520 4.907 8.010
Pm 5.694 5.903 6.182
Pb 3.176 4.488 0.069
Pb 0.667 5.525 2.630
Pm 0.901 3.074 4.870
Pm 3.929 1.759 6.178
Pb 5.927 3.451 8.422
Pb 3.964 7.939 8.156
Pm 5.962 6.247 10.401
Pm 2.665 7.217 4.875
Ni 0.000 0.000 0.000

***

! DyEr3Pd GGA-PBE relaxed; values from VASP
! ρ	8.66	g/cm³
! excess energy over the best structure of this formula in the dataset	7	meV/atom
! uncorrected energy	-4.97	eV/atom
! Fermi-level density of states	7.6	states/eV/f.u.
! ΔE_f	-269.8	meV per atom
&SYSTEM
  ibrav = 0, nat = 10, ntyp = 3
/
ATOMIC_SPECIES
Er 167.26 Er.upf
Dy 162.50 Dy.upf
Pd 106.42 Pd.upf
CELL_PARAMETERS angstrom
7.111 -0.098 -0.231
-2.039 6.812 0.231
-3.000 -3.006 6.150
ATOMIC_POSITIONS angstrom
Er 3.674 2.498 1.088
Er 5.188 -0.745 1.303
Dy -0.443 5.607 1.520
Er -3.117 4.454 4.847
Er -1.603 1.211 5.062
Dy 2.514 -1.898 4.630
Er 1.974 1.682 4.616
Er 0.097 2.027 1.534
Pd 1.800 3.913 2.590
Pd 0.271 -0.204 3.561

***

! KRe2Rh GGA-PBE relaxed; values from VASP
! ρ	10.90	g/cm³
! excess energy over the best structure of this formula in the dataset	543	meV/atom
! uncorrected energy	-7.20	eV/atom
! Fermi-level density of states	1.7	states/eV/f.u.
! ΔE_f	1139.4	meV per atom
&SYSTEM
  ibrav = 0, nat = 4, ntyp = 3
/
ATOMIC_SPECIES
Re 186.21 Re.upf
K 39.10 K.upf
Rh 102.91 Rh.upf
CELL_PARAMETERS angstrom
5.746 0.000 -0.006
2.442 5.201 0.006
-3.225 -3.969 2.620
ATOMIC_POSITIONS angstrom
Re 0.401 0.255 0.000
K 3.321 -0.676 1.307
Re 1.561 1.856 1.313
Rh 3.774 2.397 0.000

***

! MnPbBr GGA-PBE relaxed; values from VASP
! ρ	6.65	g/cm³
! raw formation energy	-10	kJ/mol of atoms
! excess energy over the best structure of this formula in the dataset	0	meV/atom
! uncorrected energy	-4.95	eV/atom
! Fermi-level density of states	0.3	states/eV/f.u.
&SYSTEM
  ibrav = 0, nat = 3, ntyp = 3
/
ATOMIC_SPECIES
Br 79.90 Br.upf
Pb 207.20 Pb.upf
Mn 54.94 Mn.upf
CELL_PARAMETERS angstrom
3.574 0.000 0.000
-1.787 3.095 0.000
0.000 0.000 7.717
ATOMIC_POSITIONS angstrom
Br 0.000 0.000 0.751
Pb 0.000 2.063 4.607
Mn 1.787 1.032 2.359

***

! Sc2CdCo GGA-PBE relaxed; values from VASP
! ρ	6.09	g/cm³
! uncorrected energy	-5.19	eV/atom
! Fermi-level density of states	5.5	states/eV/f.u.
! ΔE_f	-23.3	meV per atom
&SYSTEM
  ibrav = 0, nat = 4, ntyp = 3
/
ATOMIC_SPECIES
Cd 112.41 Cd.upf
Co 58.93 Co.upf
Sc 44.96 Sc.upf
CELL_PARAMETERS angstrom
4.652 0.000 0.000
2.326 4.029 0.000
2.326 1.343 3.798
ATOMIC_POSITIONS angstrom
Cd 4.652 2.686 1.899
Co 6.978 4.029 2.849
Sc 2.326 1.343 0.950
Sc 0.000 0.000 0.000

***

! Pm8Er3Sc2 GGA-PBE relaxed; values from VASP
! ρ	6.62	g/cm³
! excess energy over the best structure of this formula in the dataset	4	meV/atom
! uncorrected energy	-4.73	eV/atom
! Fermi-level density of states	16.8	states/eV/f.u.
! ΔE_f	218.6	meV per atom
&SYSTEM
  ibrav = 0, nat = 13, ntyp = 3
/
ATOMIC_SPECIES
Sc 44.96 Sc.upf
Pm 145.00 Pm.upf
Er 167.26 Er.upf
CELL_PARAMETERS angstrom
-2.361 -3.923 4.935
-5.908 -6.954 -2.539
2.698 -9.079 -0.110
ATOMIC_POSITIONS angstrom
Sc -1.875 -5.185 2.107
Pm -0.635 -3.071 -0.436
Pm -3.613 -10.306 3.786
Sc -3.697 -14.771 0.178
Pm -1.502 -12.127 1.011
Pm -4.937 -16.885 2.722
Er 1.247 -8.721 -0.520
Pm -1.959 -9.650 -1.501
Pm -4.070 -7.829 1.274
Pm -4.619 -11.358 0.132
Er -1.181 -1.961 2.468
Er -4.457 -7.312 -2.130
Pm -0.953 -8.598 2.154

***

! V2Sn2Ge GGA-PBE relaxed; values from VASP
! ρ	7.51	g/cm³
! uncorrected energy	-6.12	eV/atom
! Fermi-level density of states	3.8	states/eV/f.u.
! ΔE_f	49.8	meV per atom
&SYSTEM
  ibrav = 0, nat = 10, ntyp = 3
/
ATOMIC_SPECIES
Sn 118.71 Sn.upf
V 50.94 V.upf
Ge 72.64 Ge.upf
CELL_PARAMETERS angstrom
6.540 0.000 0.000
0.000 6.540 0.000
0.000 0.000 4.257
ATOMIC_POSITIONS angstrom
Sn 5.452 2.182 2.129
V 0.884 2.386 0.000
V 5.657 4.154 0.000
V 4.154 0.884 0.000
Ge 3.270 3.270 0.000
Sn 1.088 4.358 2.129
Sn 4.358 5.452 2.129
V 2.386 5.657 0.000
Sn 2.182 1.088 2.129
Ge 0.000 0.000 0.000

***

! ScSnHg GGA-PBE relaxed; values from VASP
! ρ	8.69	g/cm³
! uncorrected energy	-3.93	eV/atom
! Fermi-level density of states	1.4	states/eV/f.u.
! ΔE_f	-379.7	meV per atom
&SYSTEM
  ibrav = 0, nat = 6, ntyp = 3
/
ATOMIC_SPECIES
Sn 118.71 Sn.upf
Sc 44.96 Sc.upf
Hg 200.59 Hg.upf
CELL_PARAMETERS angstrom
-0.351 2.446 3.332
1.857 -3.121 2.486
5.959 4.511 -2.683
ATOMIC_POSITIONS angstrom
Sn 1.686 0.711 3.529
Sc 1.160 1.146 0.572
Sc 6.305 2.689 2.563
Hg 4.141 0.464 1.386
Sn 5.780 3.124 -0.394
Hg 3.325 3.371 1.749

***

! LiCuSN2 GGA-PBE relaxed; values from VASP
! ρ	3.12	g/cm³
! raw formation energy	111	kJ/mol of atoms
! excess energy over the best structure of this formula in the dataset	0	meV/atom
! uncorrected energy	-4.21	eV/atom
! Fermi-level density of states	3.1	states/eV/f.u.
&SYSTEM
  ibrav = 0, nat = 5, ntyp = 4
/
ATOMIC_SPECIES
S 32.06 S.upf
Cu 63.55 Cu.upf
Li 6.94 Li.upf
N 14.01 N.upf
CELL_PARAMETERS angstrom
-1.962 -3.169 -0.435
3.196 -1.963 -0.116
-0.171 -0.567 4.898
ATOMIC_POSITIONS angstrom
S -0.086 -0.284 2.449
Cu 0.000 0.000 0.000
Li 0.531 -2.850 2.173
N -0.981 -1.585 -0.218
N 1.598 -0.982 -0.058

***

! CsTe2IrRh GGA-PBE relaxed; values from VASP
! ρ	7.80	g/cm³
! raw formation energy	48	kJ/mol of atoms
! uncorrected energy	-4.17	eV/atom
! Fermi-level density of states	6.7	states/eV/f.u.
&SYSTEM
  ibrav = 0, nat = 5, ntyp = 4
/
ATOMIC_SPECIES
Te 127.60 Te.upf
Ir 192.22 Ir.upf
Rh 102.91 Rh.upf
Cs 132.91 Cs.upf
CELL_PARAMETERS angstrom
-3.110 -2.394 -3.755
3.522 -3.361 -0.775
-2.183 -3.172 3.831
ATOMIC_POSITIONS angstrom
Te -1.092 -1.586 1.915
Te -1.555 -1.197 -1.877
Ir 1.761 -1.681 -0.388
Rh 0.000 0.000 0.000
Cs -0.886 -4.463 -0.350